[1]
Density functional theory data (PBE) for crystalline KNaN2F at its relaxed geometry.

POSCAR file:
```
KNaN2F
1.0
-3.211 1.628 -3.077
-0.454 -4.346 -1.826
-3.195 -0.873 2.871
F K Na N
1 1 1 2
Cartesian
-1.597 -0.436 1.436
-3.430 -1.796 -1.016
0.000 0.000 0.000
-1.605 0.814 -1.539
-0.227 -2.173 -0.913
```

Size of the total moment: 5.000 μB/f.u.
N(E_F): 2.03 states/eV per cell
Energy above the most stable polymorph in this dataset: 0.0 meV per atom
V: 19.66 Å³ per atom
Space-group type: P4/mmm (123)
E_tot: -18.184 eV per cell
ρ: 1.843 Mg/m³
Formation energy from raw total energies: 0.551 eV per atom

=====

[2]
Density functional theory data (PBE) for crystalline Nb6Mo2Ru at its relaxed geometry.

POSCAR file:
```
Nb6Mo2Ru
1.0
4.325 0.000 -0.170
0.000 6.272 0.000
-1.907 -3.136 6.747
Nb Ru Mo
6 1 2
Cartesian
0.085 4.716 2.216
0.085 1.556 2.216
2.332 -1.580 4.362
2.162 1.566 -0.085
2.332 1.580 4.362
2.162 4.706 -0.085
0.000 0.000 0.000
2.247 3.136 2.118
0.171 0.000 4.460
```

Size of the total moment: 0.000 μB/f.u.
DFT formation energy: 0.50 eV/atom
N(E_F): 10.47 states/eV per cell
V: 20.11 Å³ per atom
Space-group type: Immm (71)
E_tot: -86.862 eV per cell
ρ: 7.802 Mg/m³

=====

[3]
Density functional theory data (PBE) for crystalline Ir3AuCl at its relaxed geometry.

POSCAR file:
```
Ir3AuCl
1.0
4.427 0.000 0.000
0.000 4.427 0.000
0.000 0.000 4.427
Ir Cl Au
3 1 1
Cartesian
0.000 2.214 0.000
0.000 0.000 2.214
2.214 0.000 0.000
0.000 0.000 0.000
2.214 2.214 2.214
```

Size of the total moment: 0.705 μB/f.u.
N(E_F): 6.88 states/eV per cell
Energy above the most stable polymorph in this dataset: 0.0 meV per atom
V: 17.35 Å³ per atom
Space-group type: Pm-3m (221)
E_tot: -24.065 eV per cell
ρ: 15.484 Mg/m³
Formation energy from raw total energies: 1.528 eV per atom

=====

[4]
Density functional theory data (PBE) for crystalline Ho2Be5Cu5 at its relaxed geometry.

POSCAR file:
```
Ho2Be5Cu5
1.0
-0.143 -3.863 -0.065
2.445 -0.022 -4.069
7.370 -0.348 4.430
Cu Be Ho
5 5 2
Cartesian
6.145 -0.243 0.925
-0.072 -1.932 -0.033
6.022 -0.284 3.620
3.669 -0.126 -0.563
1.348 -0.064 0.810
6.035 -2.196 2.242
2.424 -2.026 0.072
7.247 -2.207 0.224
4.836 -2.116 0.148
3.637 -2.037 -1.946
1.222 -0.011 -2.034
3.685 -0.174 2.215
```

Size of the total moment: 0.000 μB/f.u.
DFT formation energy: -0.19 eV/atom
N(E_F): 4.15 states/eV per cell
V: 13.16 Å³ per atom
Space-group type: Pmmm (47)
E_tot: -50.509 eV per cell
ρ: 7.283 Mg/m³